Compound: BaVN2O
Source: the Alexandria database
Functional: PBE with a Hubbard U
Structure: optimized geometry

Crystal system: tetragonal

CIF file:
```
data_BaVN2O
_cell_length_a 4.6483
_cell_length_b 4.6483
_cell_length_c 4.4692
_cell_angle_alpha 90.00
_cell_angle_beta 90.00
_cell_angle_gamma 90.00
_space_group_name_H-M_alt 'P 4/m m m'
_space_group_IT_number 123
_space_group_name_Hall '-P 4 2'
loop_
_atom_site_label
_atom_site_fract_x
_atom_site_fract_y
_atom_site_fract_z
Ba1 0.0000 0.0000 0.0000
V1 0.5000 0.5000 0.5000
N1 0.0000 0.5000 0.0000
O1 0.0000 0.0000 0.5000
```

Compound: BaVN2O
Source: the Alexandria database
Functional: PBE with a Hubbard U
Structure: optimized geometry

Crystal system: tetragonal

CIF file:
```
data_BaVN2O
_cell_length_a 3.9542
_cell_length_b 3.9542
_cell_length_c 4.1947
_cell_angle_alpha 90.00
_cell_angle_beta 90.00
_cell_angle_gamma 90.00
_space_group_name_H-M_alt 'P 4/m m m'
_space_group_IT_number 123
_space_group_name_Hall '-P 4 2'
loop_
_atom_site_label
_atom_site_fract_x
_atom_site_fract_y
_atom_site_fract_z
Ba1 0.0000 0.0000 0.0000
V1 0.5000 0.5000 0.5000
N1 0.0000 0.5000 0.5000
O1 0.5000 0.5000 0.0000
```

| no. | final energy (eV/atom) |
| --- | --- |
| 1 | -4.53 |
| 2 | -6.92 |